Arrangement 1

A plane-wave DFT calculation with GGA+U was carried out for an optimized crystal structure of Rb2WO4.

abc: 13.0608 6.4834 8.0431
angles: 90.00 116.28 90.00
Space group C2/m (No. 12)
Unique sites:
Rb 0.0104 0.0000 0.2358 x4
Rb 0.1560 0.5000 0.7480 x4
W 0.1760 0.5000 0.2275 x4
O 0.0935 0.5000 0.3601 x4
O 0.1425 0.2701 0.0827 x8
O 0.1707 0.0000 0.6231 x4

Magnetic moment = 0.006 μB per cell

Arrangement 2

A plane-wave DFT calculation with GGA+U was carried out for an optimized crystal structure of Rb2WO4.

abc: 6.6500 6.9995 7.8094
angles: 90.00 110.45 90.00
Space group P2_1/m (No. 11)
Unique sites:
Rb 0.1509 0.2500 0.0005 x2
Rb 0.3038 0.2500 0.5657 x2
W 0.2684 0.7500 0.7991 x2
O 0.0944 0.5405 0.7408 x4
O 0.4123 0.7500 0.0445 x2
O 0.4602 0.7500 0.6806 x2

Magnetic moment = 0.314 μB per cell

Which structure is the most stable? The one labeled arrangement 1.

Arrangement 1

A plane-wave DFT calculation with GGA+U was carried out for an optimized crystal structure of Rb2W2O7.

abc: 6.2696 14.6712 3.9016
angles: 90.00 90.00 90.00
Space group Pbam (No. 55)
Unique sites:
Rb 0.1706 0.1728 0.0000 x4
W 0.2165 0.4404 0.5000 x4
O 0.0000 0.0000 0.5000 x2
O 0.0854 0.5779 0.5000 x4
O 0.1982 0.8226 0.5000 x4
O 0.2242 0.4506 0.0000 x4

Magnetic moment = 0.000 μB per cell

Arrangement 2

A plane-wave DFT calculation with GGA+U was carried out for an optimized crystal structure of Rb2W2O7.

abc: 8.4003 10.9782 5.8166
angles: 90.00 101.05 90.00
Space group C2/m (No. 12)
Unique sites:
Rb 0.0000 0.1915 0.0000 x4
W 0.2113 0.5000 0.4172 x4
O 0.0000 0.5000 0.5000 x2
O 0.1366 0.0000 0.3219 x4
O 0.2331 0.3673 0.2472 x8

Magnetic moment = 0.230 μB per cell

Which structure is the most stable? The one labeled arrangement 1.

Arrangement 1

A plane-wave DFT calculation with GGA+U was carried out for an optimized crystal structure of Rb3WO4.

abc: 8.6430 9.3875 6.3881
angles: 90.00 90.00 90.00
Space group Pmn2_1 (No. 31)
Unique sites:
Rb 0.0000 0.1397 0.0000 x2
Rb 0.2340 0.7046 0.0091 x4
W 0.0000 0.9122 0.5172 x2
O 0.0000 0.1068 0.4943 x2
O 0.0000 0.8656 0.7951 x2
O 0.1731 0.8445 0.3903 x4

Magnetic moment = 0.000 μB per cell

Arrangement 2

A plane-wave DFT calculation with GGA+U was carried out for an optimized crystal structure of Rb3WO4.

abc: 8.5284 8.9213 9.7163
angles: 90.00 90.00 90.00
Space group Pnma (No. 62)
Unique sites:
Rb 0.0367 0.0171 0.2290 x8
Rb 0.1818 0.7500 0.5089 x4
W 0.2219 0.7500 0.9921 x4
O 0.0062 0.7500 0.0398 x4
O 0.1720 0.0806 0.5631 x8
O 0.2203 0.7500 0.7959 x4

Magnetic moment = 4.000 μB per cell

Which structure is the most stable? The one labeled arrangement 1.

Arrangement 1

A plane-wave DFT calculation with GGA+U was carried out for an optimized crystal structure of Rb2W2O.

abc: 6.7290 6.7290 7.3483
angles: 90.00 90.00 90.00
Space group P4/mbm (No. 127)
Unique sites:
Rb 0.1646 0.3354 0.0000 x4
W 0.1634 0.6634 0.5000 x4
O 0.0000 0.0000 0.0000 x2

Magnetic moment = 16.627 μB per cell

Arrangement 2

A plane-wave DFT calculation with GGA+U was carried out for an optimized crystal structure of Rb2W2O.

abc: 3.7067 3.7067 21.1072
angles: 90.00 90.00 90.00
Space group I4/mmm (No. 139)
Unique sites:
Rb 0.0000 0.0000 0.0763 x4
W 0.0000 0.5000 0.2500 x4
O 0.0000 0.0000 0.5000 x2

Magnetic moment = 6.254 μB per cell

Which structure is the most stable? The one labeled arrangement 2.